Entry 1:
A relaxed TaFeAg2 crystal. Source: Alexandria, functional GGA-PBE.

For the density of states at the Fermi level, the calculation gives 0.83 states/eV/atom. The value obtained for the total magnetization is 1.511 μB/f.u. The relative energy among the computed polymorphs comes out at 0.98 eV per formula unit. The energy relative to the elements is 0.46 eV per atom.

The space group is F-43m (No. 216) and the conventional cell measures 6.374, 6.374 and 6.374 Å, with angles of 90.00, 90.00 and 90.00 degrees. The inequivalent atoms are Ta at (0.000, 0.000, 0.000), Fe at (0.250, 0.250, 0.250), Ag at (0.000, 0.000, 0.500) and Ag at (0.250, 0.250, 0.750).



Entry 2:
A relaxed InCuP2O crystal. Source: Alexandria, functional GGA-PBE.

The raw formation energy comes out at 0.361 eV per atom. For the density of states at the Fermi level, the calculation gives 0.87 states/eV/atom. The value obtained for the total magnetization is 0.002 μB/f.u. The relative energy among the computed polymorphs comes out at 0.00 eV per formula unit.

The space group is P4/mmm (No. 123) and the conventional cell measures 4.856, 4.856 and 3.629 Å, with angles of 90.00, 90.00 and 90.00 degrees. The inequivalent atoms are In at (0.000, 0.000, 0.000), Cu at (0.500, 0.500, 0.500), P at (0.000, 0.500, 0.500) and O at (0.500, 0.500, 0.000).



Entry 3:
A relaxed K2TlCd3Bi4 crystal. Source: Alexandria, functional GGA-PBE.

For the density of states at the Fermi level, the calculation gives 0.37 states/eV/atom. The value obtained for the total magnetization is 0.000 μB/f.u. The energy relative to the elements is -0.18 eV per atom.

The space group is P-4m2 (No. 115) and the conventional cell measures 5.370, 5.370 and 12.156 Å, with angles of 90.00, 90.00 and 90.00 degrees. The inequivalent atoms are K at (0.000, 0.500, 0.245), Tl at (0.000, 0.000, 0.500), Cd at (0.000, 0.500, 0.874), Cd at (0.500, 0.500, 0.500), Bi at (0.000, 0.000, 0.000), Bi at (0.000, 0.500, 0.632) and Bi at (0.500, 0.500, 0.000).



Entry 4:
A relaxed CaGe3Pd3 crystal. Source: Alexandria, functional GGA-PBE.

For the density of states at the Fermi level, the calculation gives 0.58 states/eV/atom. The value obtained for the total magnetization is 0.000 μB/f.u. The relative energy among the computed polymorphs comes out at 0.00 eV per formula unit. The energy relative to the elements is -0.44 eV per atom.

The space group is P2_1/m (No. 11) and the conventional cell measures 8.701, 4.496 and 8.703 Å, with angles of 90.00, 119.90 and 90.00 degrees. The inequivalent atoms are Ca at (0.167, 0.250, 0.333), Ge at (0.173, 0.250, 0.954), Ge at (0.218, 0.750, 0.673), Ge at (0.454, 0.750, 0.282), Pd at (0.068, 0.250, 0.628), Pd at (0.128, 0.750, 0.060) and Pd at (0.440, 0.750, 0.568).



Entry 5:
A relaxed HfTi2Al crystal. Source: Alexandria, functional GGA-PBE.

For the density of states at the Fermi level, the calculation gives 1.47 states/eV/atom. The value obtained for the total magnetization is 0.000 μB/f.u. The energy relative to the elements is -0.09 eV per atom.

The space group is P2/m (No. 10) and the conventional cell measures 2.977, 4.644 and 5.415 Å, with angles of 90.00, 101.82 and 90.00 degrees. The inequivalent atoms are Hf at (0.000, 0.000, 0.000), Ti at (0.320, 0.500, 0.738) and Al at (0.500, 0.000, 0.500).



Entry 6:
A relaxed RbPuTe3 crystal. Source: Alexandria, functional GGA-PBE.

The raw formation energy comes out at -0.735 eV per atom. For the density of states at the Fermi level, the calculation gives 2.00 states/eV/atom. The value obtained for the total magnetization is 4.296 μB/f.u. The relative energy among the computed polymorphs comes out at 0.23 eV per formula unit.

The space group is Pmmm (No. 47) and the conventional cell measures 4.700, 5.955 and 7.105 Å, with angles of 90.00, 90.00 and 90.00 degrees. The inequivalent atoms are Rb at (0.000, 0.000, 0.000), Pu at (0.000, 0.500, 0.500), Te at (0.000, 0.000, 0.500) and Te at (0.500, 0.500, 0.220).



Entry 7:
A relaxed Sc2FePt9 crystal. Source: Alexandria, functional GGA-PBE.

For the density of states at the Fermi level, the calculation gives 0.84 states/eV/atom. The value obtained for the total magnetization is 4.865 μB/f.u. The energy relative to the elements is -0.78 eV per atom.

The space group is P4/mmm (No. 123) and the conventional cell measures 3.984, 3.984 and 11.917 Å, with angles of 90.00, 90.00 and 90.00 degrees. The inequivalent atoms are Sc at (0.000, 0.000, 0.169), Fe at (0.000, 0.000, 0.500), Pt at (0.000, 0.500, 0.000), Pt at (0.000, 0.500, 0.340), Pt at (0.500, 0.500, 0.169) and Pt at (0.500, 0.500, 0.500).



Entry 8:
A relaxed AcZnSi2Pt5 crystal. Source: Alexandria, functional GGA-PBE.

The raw formation energy comes out at -0.756 eV per atom. For the density of states at the Fermi level, the calculation gives 0.26 states/eV/atom. The value obtained for the total magnetization is 0.000 μB/f.u.

The space group is P4/mmm (No. 123) and the conventional cell measures 4.158, 4.158 and 10.260 Å, with angles of 90.00, 90.00 and 90.00 degrees. The inequivalent atoms are Ac at (0.000, 0.000, 0.000), Zn at (0.000, 0.000, 0.500), Si at (0.500, 0.500, 0.231), Pt at (0.000, 0.500, 0.343) and Pt at (0.500, 0.500, 0.000).